1.
The following is a DFT calculation (GGA-PBE) of a relaxed structure of TlP2SeS8.

```
12
Lattice="2.969 1.714 9.595 -2.969 1.714 9.595 0.000 -3.428 9.595" Properties=species:S:1:pos:R:3 pbc="T T T"
Tl 0.000 0.000 0.000
P 0.000 0.000 6.930
P 0.000 0.000 21.856
Se 0.000 0.000 14.393
S -2.020 0.042 12.817
S -1.046 -1.728 15.970
S 0.000 0.000 8.933
S 0.974 -1.770 12.817
S -0.974 1.770 15.970
S 0.000 0.000 19.853
S 1.046 1.728 12.817
S 2.020 -0.042 15.970
```

Results
- Density of states at the Fermi level: 10.24 states/eV/f.u.
- Symmetry: R-3, No. 148
- ΔE_f (raw): 37 meV per atom

2.
The following is a DFT calculation (GGA-PBE) of a relaxed structure of Tm6P2SeS3.

```
12
Lattice="8.517 -1.953 0.000 8.517 1.953 0.000 -1.742 0.000 7.627" Properties=species:S:1:pos:R:3 pbc="T T T"
Tm -0.389 0.000 2.027
Tm 4.002 0.000 6.894
Tm 4.897 0.000 3.214
Tm 10.395 0.000 4.413
Tm 11.290 0.000 0.733
Tm 15.680 0.000 5.600
P 2.258 0.000 2.540
P 13.034 0.000 5.087
Se 8.517 0.000 0.000
S 1.328 0.000 6.365
S 7.646 0.000 3.813
S 13.964 0.000 1.262
```

Results
- Density of states at the Fermi level: 3.48 states/eV/f.u.
- Symmetry: C2/m, No. 12
- ΔE_f (raw): -1837 meV per atom

3.
The following is a DFT calculation (GGA-PBE) of a relaxed structure of Tm6P3Se2S.

```
12
Lattice="8.657 -1.972 0.000 8.657 1.972 0.000 -1.921 0.000 7.716" Properties=species:S:1:pos:R:3 pbc="T T T"
Tm -0.384 0.000 1.898
Tm 4.916 0.000 3.316
Tm 4.128 0.000 6.969
Tm 11.264 0.000 0.747
Tm 10.476 0.000 4.399
Tm 15.776 0.000 5.818
P 2.257 0.000 2.584
P 8.657 0.000 0.000
P 13.135 0.000 5.132
Se 1.279 0.000 6.435
Se 14.113 0.000 1.281
S 7.696 0.000 3.858
```

Results
- Density of states at the Fermi level: 4.02 states/eV/f.u.
- Symmetry: C2/m, No. 12
- ΔE_f (raw): -1770 meV per atom

4.
The following is a DFT calculation (GGA-PBE) of a relaxed structure of Tm4P2SeS.

```
8
Lattice="-2.783 2.783 5.591 2.783 -2.783 5.591 2.783 2.783 -5.591" Properties=species:S:1:pos:R:3 pbc="T T T"
Tm 2.783 0.000 0.062
Tm 0.000 0.000 2.692
Tm 2.783 0.000 5.529
Tm 0.000 0.000 8.490
P 0.000 0.000 0.000
P 2.783 0.000 2.795
Se 0.000 0.000 5.591
S 0.000 2.783 2.795
```

Results
- Density of states at the Fermi level: 2.51 states/eV/f.u.
- Symmetry: I-4m2, No. 119
- ΔE_f (raw): -1780 meV per atom

5.
The following is a DFT calculation (GGA-PBE) of a relaxed structure of Tm4PSe2S.

```
8
Lattice="6.799 0.000 0.000 0.000 3.936 0.000 -2.272 0.000 6.573" Properties=species:S:1:pos:R:3 pbc="T T T"
Tm 1.108 0.000 1.475
Tm -0.028 1.968 5.098
Tm 4.556 1.968 1.475
Tm 3.419 0.000 5.098
P 0.000 1.968 0.000
Se -1.136 0.000 3.287
Se 2.264 1.968 3.287
S 3.400 0.000 0.000
```

Results
- Density of states at the Fermi level: 2.83 states/eV/f.u.
- Symmetry: P2/m, No. 10
- ΔE_f (raw): -1787 meV per atom

6.
The following is a DFT calculation (GGA-PBE) of a relaxed structure of Tm4PSeS2.

```
8
Lattice="6.739 0.000 0.000 0.000 3.904 0.000 -2.254 0.000 6.459" Properties=species:S:1:pos:R:3 pbc="T T T"
Tm 1.099 0.000 1.485
Tm -0.030 1.952 4.943
Tm 4.515 1.952 1.516
Tm 3.386 0.000 4.974
P 3.369 0.000 0.000
Se 2.243 1.952 3.229
S -1.127 0.000 3.229
S 0.000 1.952 0.000
```

Results
- Density of states at the Fermi level: 2.63 states/eV/f.u.
- Symmetry: P2/m, No. 10
- ΔE_f (raw): -1831 meV per atom

- density of states at the Fermi level of number 5 (Tm4PSe2S)?
  2.83 states/eV/f.u.

- Which formula does entry 1 have?
  TlP2SeS8